No. 1
Density functional theory data (PBE) for a geometry-optimized InPtSe2 structure.

## Properties
**V**: 97.21 Å³ per cell
**Calculated total energy**: -4.21 eV per atom
**Crystal system**: monoclinic

a = 3.9988 Å, b = 3.9988 Å, c = 7.3831 Å
α = 74.35°, β = 74.35°, γ = 60.06°
With the nearest neighbours (Å) after each atom.
Fractional positions:
1 Pt 0.7407 0.7407 0.7762  3 Se 2.46
2 In 0.4959 0.4959 0.5139  3 Se 2.70, 3 Pt 2.94-2.96
3 Se 0.0343 0.0343 0.8962  3 Pt 2.46
4 Se 0.2291 0.2291 0.3137  3 In 2.70


No. 2
Density functional theory data (PBE) for a geometry-optimized InPt2Se structure.

## Properties
**V**: 71.30 Å³ per cell
**Calculated total energy**: -4.64 eV per atom
**Crystal system**: orthorhombic

a = 3.4401 Å, b = 3.4003 Å, c = 6.9808 Å
α = 60.83°, β = 90.00°, γ = 90.00°
With the nearest neighbours (Å) after each atom.
Fractional positions:
1 In 0.5000 0.7500 0.7500  8 Pt 2.84, 2 Se 3.05
2 Se 0.5000 0.2500 0.2500  8 Pt 2.88, 2 In 3.05
3 Pt 0.0000 0.0066 0.9934  4 In 2.84, 4 Se 2.88, 2 Pt 2.97-3.13
4 Pt 0.0000 0.4934 0.5066  4 In 2.84, 4 Se 2.88, 2 Pt 2.97-3.13


No. 3
Density functional theory data (PBE) for a geometry-optimized InPt2Se2 structure.

## Properties
**V**: 111.40 Å³ per cell
**Calculated total energy**: -4.32 eV per atom
**Crystal system**: tetragonal

a = 4.2115 Å, b = 4.2115 Å, c = 6.9509 Å
α = 72.37°, β = 72.37°, γ = 90.00°
With the nearest neighbours (Å) after each atom.
Fractional positions:
1 Pt 0.7500 0.2500 0.5000  4 Se 2.57
2 Se 0.3677 0.3677 0.2646  4 Pt 2.57
3 Pt 0.2500 0.7500 0.5000  4 Se 2.57
4 Se 0.6323 0.6323 0.7354  4 Pt 2.57
5 In 0.0000 0.0000 0.0000  8 Se 3.41, 8 Pt 3.78


No. 4
Density functional theory data (PBE) for a geometry-optimized InPt2Se structure.

## Properties
**V**: 177.80 Å³ per cell
**Calculated total energy**: -4.72 eV per atom
**Crystal system**: tetragonal

a = 4.7978 Å, b = 4.7978 Å, c = 8.4364 Å
α = 73.48°, β = 73.48°, γ = 90.00°
With the nearest neighbours (Å) after each atom.
Fractional positions:
1 Pt 0.5528 0.1250 0.2500  2 Se 2.43
2 Pt 0.1972 0.6250 0.2500  2 Se 2.43
3 In 0.7500 0.2500 0.5000  4 Pt 2.75
4 Pt 0.3750 0.4472 0.7500  2 Se 2.43
5 In 0.0000 0.0000 0.0000  4 Pt 2.75
6 Se 0.2500 0.7500 0.5000  4 Pt 2.43
7 Pt 0.8750 0.8028 0.7500  2 Se 2.43
8 Se 0.5000 0.5000 0.0000  4 Pt 2.43


No. 5
Density functional theory data (PBE) for a geometry-optimized InPtSe2 structure.

## Properties
**V**: 82.91 Å³ per cell
**Calculated total energy**: -3.70 eV per atom
**Crystal system**: tetragonal

a = 4.7583 Å, b = 4.7583 Å, c = 4.7583 Å
α = 110.02°, β = 110.02°, γ = 108.37°
With the nearest neighbours (Å) after each atom.
Fractional positions:
1 Se 0.5000 0.5000 0.0000  2 Se 2.78, 4 In 3.06, 4 Pt 3.06
2 Se 0.0000 0.0000 0.0000  2 Se 2.78, 4 In 3.06, 4 Pt 3.06
3 Pt 0.7500 0.2500 0.5000  2 In 2.78, 8 Se 3.06
4 In 0.2500 0.7500 0.5000  2 Pt 2.78, 8 Se 3.06


No. 6
Density functional theory data (PBE) for a geometry-optimized InPtSe2 structure.

## Properties
**V**: 83.85 Å³ per cell
**Calculated total energy**: -3.89 eV per atom
**Crystal system**: monoclinic

a = 3.9457 Å, b = 6.1037 Å, c = 3.9353 Å
α = 70.46°, β = 92.15°, γ = 109.59°
With the nearest neighbours (Å) after each atom.
Fractional positions:
1 Pt 0.5000 0.5000 0.0000  4 In 2.73-2.84, 4 Se 3.03
2 Se 0.5000 0.0000 0.5000  4 Se 2.73-2.84, 2 In 3.03, 2 Pt 3.03
3 In 0.0000 0.5000 0.5000  4 Pt 2.73-2.84, 4 Se 3.03
4 Se 0.0000 0.0000 0.0000  4 Se 2.73-2.84, 2 Pt 3.03, 2 In 3.03